# 1
Compound: Tm2BeSi4Ir3
Source: Alexandria via LeMat-Bulk
Functional: PBE-GGA
Structure: optimized geometry

a b c (Å): 4.010 4.010 10.129
angles (deg): 90.00 90.00 90.00
Positions (direct):
Tm 0.500 0.000 0.253
Tm 0.000 0.500 0.747
Be 0.500 0.500 0.500
Si 0.500 0.500 0.000
Si 0.000 0.000 0.000
Si 0.500 0.000 0.633
Si 0.000 0.500 0.367
Ir 0.000 0.000 0.500
Ir 0.500 0.000 0.868
Ir 0.000 0.500 0.132

Computed properties:
Its size of the total moment is 0.00 Bohr magnetons per cell. The calculation puts the density of states at the Fermi level at 5.453 states/eV/cell. For the electronic total energy, the calculation gives -69.50 eV per cell.

***

# 2
Compound: SrMg2
Source: Alexandria via LeMat-Bulk
Functional: PBE-GGA
Structure: optimized geometry

a b c (Å): 6.427 6.427 21.063
angles (deg): 90.00 90.00 120.00
Positions (direct):
Sr 0.000 0.000 0.094
Sr 0.000 0.000 0.906
Sr 0.000 0.000 0.594
Sr 0.000 0.000 0.406
Sr 0.667 0.333 0.844
Sr 0.333 0.667 0.156
Sr 0.333 0.667 0.344
Sr 0.667 0.333 0.656
Mg 0.667 0.333 0.125
Mg 0.333 0.667 0.875
Mg 0.333 0.667 0.625
Mg 0.667 0.333 0.375
Mg 0.000 0.500 0.000
Mg 0.500 0.500 0.000
Mg 0.500 0.000 0.000
Mg 0.000 0.500 0.500
Mg 0.500 0.500 0.500
Mg 0.500 0.000 0.500
Mg 0.333 0.166 0.250
Mg 0.834 0.166 0.250
Mg 0.834 0.667 0.250
Mg 0.667 0.834 0.750
Mg 0.166 0.834 0.750
Mg 0.166 0.333 0.750

Computed properties:
Its size of the total moment is 0.00 Bohr magnetons per cell. The calculation puts the density of states at the Fermi level at 22.631 states/eV/cell. The value obtained for the formation energy from the elements is -0.10 eV/atom.

***

# 3
Compound: In5Si4
Source: Alexandria via LeMat-Bulk
Functional: PBE-GGA
Structure: optimized geometry

a b c (Å): 8.593 8.593 6.244
angles (deg): 90.00 90.00 120.00
Positions (direct):
Si 0.000 0.000 0.000
Si 0.000 0.000 0.500
Si 0.597 0.000 0.250
Si 0.000 0.597 0.250
Si 0.403 0.403 0.250
Si 0.403 0.000 0.750
Si 0.000 0.403 0.750
Si 0.597 0.597 0.750
In 0.274 0.000 0.250
In 0.000 0.274 0.250
In 0.726 0.726 0.250
In 0.726 0.000 0.750
In 0.000 0.726 0.750
In 0.274 0.274 0.750
In 0.333 0.667 0.000
In 0.667 0.333 0.500
In 0.667 0.333 0.000
In 0.333 0.667 0.500

Computed properties:
Its size of the total moment is 0.00 Bohr magnetons per cell. The calculation puts the density of states at the Fermi level at 7.705 states/eV/cell. For the electronic total energy, the calculation gives -63.13 eV per cell.

***

# 4
Compound: Pd3AuSe8
Source: Alexandria via LeMat-Bulk
Functional: PBE-GGA
Structure: optimized geometry

a b c (Å): 9.261 11.762 9.193
angles (deg): 141.14 68.83 141.36
Positions (direct):
Pd 0.500 0.000 0.000
Pd 0.500 0.500 0.000
Pd 0.000 0.500 0.000
Au 0.000 0.000 0.000
Se 0.270 0.546 0.797
Se 0.730 0.454 0.203
Se 0.295 0.065 0.808
Se 0.731 0.006 0.757
Se 0.711 0.481 0.739
Se 0.289 0.519 0.261
Se 0.269 0.994 0.243
Se 0.705 0.935 0.192

Computed properties:
Its size of the total moment is 0.00 Bohr magnetons per cell. The calculation puts the density of states at the Fermi level at 2.414 states/eV/cell. For the electronic total energy, the calculation gives -48.66 eV per cell.